i.
The following is a DFT calculation (GGA-PBE) of a relaxed structure of TaCuI2.

Lattice parameters (Å, degrees): 6.469 6.469 11.098 90.00 90.00 90.00
Space group I-42d (No. 122)
Symmetry-distinct sites (fractional):
Ta: 0.000 0.000 0.000
Cu: 0.000 0.000 0.500
I: 0.230 0.250 0.625

***

ii.
The following is a DFT calculation (GGA-PBE) of a relaxed structure of TaCuI2.

Lattice parameters (Å, degrees): 6.957 6.957 6.957 90.00 90.00 90.00
Space group Fm-3m (No. 225)
Symmetry-distinct sites (fractional):
Ta: 0.000 0.000 0.000
Cu: 0.000 0.000 0.500
I: 0.250 0.250 0.250

***

Which of them is most stable, and which least? Most stable: ii; least stable: i.

***

i.
The following is a DFT calculation (GGA-PBE) of a relaxed structure of TaCu2I.

Lattice parameters (Å, degrees): 7.379 7.379 5.430 90.00 90.00 90.00
Space group I-42d (No. 122)
Symmetry-distinct sites (fractional):
Ta: 0.000 0.000 0.000
Cu: 0.242 0.750 0.125
I: 0.000 0.000 0.500

***

ii.
The following is a DFT calculation (GGA-PBE) of a relaxed structure of TaCu2I.

Lattice parameters (Å, degrees): 6.605 6.605 6.605 90.00 90.00 90.00
Space group Fm-3m (No. 225)
Symmetry-distinct sites (fractional):
Ta: 0.000 0.000 0.000
Cu: 0.250 0.250 0.250
I: 0.000 0.000 0.500

***

Which of them is most stable, and which least? Most stable: i; least stable: ii.